[1]
Crystalline Th2Si4Mo3 at its relaxed geometry. Source: Alexandria via LeMat-Bulk, functional GGA-PBE.

The calculation puts the density of states at the Fermi level at 10.95 states/eV per cell. The value obtained for the formation energy without anion corrections is -0.545 eV/atom. As for the total energy: -8.21 eV per atom. The total magnetization comes out at 0.0 μB per cell.

It has space group P2_1/c (No. 14), with a = 7.024 Å, b = 7.070 Å, c = 6.981 Å, α = 90.00°, β = 109.87° and γ = 90.00°. The asymmetric unit holds Th at (0.191, 0.168, 0.058), Si at (0.099, 0.552, 0.876), Si at (0.486, 0.638, 0.630), Mo at (0.247, 0.657, 0.255) and Mo at (0.500, 0.000, 0.500).


[2]
Crystalline AlOsI2O at its relaxed geometry. Source: Alexandria via LeMat-Bulk, functional GGA-PBE.

The calculation puts the density of states at the Fermi level at 3.55 states/eV per cell. The value obtained for the formation energy without anion corrections is 0.064 eV/atom. As for the total energy: -4.54 eV per atom. The total magnetization comes out at 0.3 μB per cell. The calculation puts the energy above the most stable polymorph in this dataset at 0.0 meV/atom.

It has space group P4/mmm (No. 123), with a = 5.670 Å, b = 5.670 Å, c = 3.770 Å, α = 90.00°, β = 90.00° and γ = 90.00°. The asymmetric unit holds Al at (0.000, 0.000, 0.000), Os at (0.500, 0.500, 0.500), I at (0.000, 0.500, 0.500) and O at (0.500, 0.500, 0.000).


[3]
Crystalline AcLaSi at its relaxed geometry. Source: Alexandria via LeMat-Bulk, functional GGA-PBE.

The calculation puts the density of states at the Fermi level at 6.11 states/eV per cell. The value obtained for the formation energy without anion corrections is -0.295 eV/atom. As for the total energy: -5.11 eV per atom. The total magnetization comes out at 0.0 μB per cell. The calculation puts the energy above the most stable polymorph in this dataset at 171.9 meV/atom.

It has space group P2_1/m (No. 11), with a = 5.913 Å, b = 5.079 Å, c = 7.287 Å, α = 90.00°, β = 108.04° and γ = 90.00°. The asymmetric unit holds Ac at (0.077, 0.250, 0.240), La at (0.421, 0.250, 0.741) and Si at (0.257, 0.750, 0.504).


[4]
Crystalline Cs2CrRhS4 at its relaxed geometry. Source: Alexandria via LeMat-Bulk, functional GGA-PBE.

The calculation puts the density of states at the Fermi level at 69.30 states/eV per cell. The value obtained for the formation energy without anion corrections is -0.849 eV/atom. As for the total energy: -5.25 eV per atom. The total magnetization comes out at 6.3 μB per cell.

It has space group Fddd (No. 70, origin choice 2), with a = 5.529 Å, b = 14.026 Å, c = 24.808 Å, α = 90.00°, β = 90.00° and γ = 90.00°. The asymmetric unit holds Cs at (0.125, 0.125, 0.301), Cr at (0.125, 0.125, 0.125), Rh at (0.125, 0.125, 0.625) and S at (0.101, 0.286, 0.425).


[5]
Crystalline Ca2ZrPt at its relaxed geometry. Source: Alexandria via LeMat-Bulk, functional GGA-PBE.

The calculation puts the density of states at the Fermi level at 35.71 states/eV per cell. As for the total energy: -4.52 eV per atom. The total magnetization comes out at 11.0 μB per cell. The energy relative to the elements comes out at 0.13 eV per atom. The calculation puts the energy above the most stable polymorph in this dataset at 554.8 meV/atom.

It has space group Fm-3m (No. 225), with a = 7.301 Å, b = 7.301 Å, c = 7.301 Å, α = 90.00°, β = 90.00° and γ = 90.00°. The asymmetric unit holds Ca at (0.250, 0.250, 0.250), Zr at (0.000, 0.000, 0.000) and Pt at (0.000, 0.000, 0.500).


[6]
Crystalline Cd2Cu2HgPd5 at its relaxed geometry. Source: Alexandria via LeMat-Bulk, functional GGA-PBE.

The calculation puts the density of states at the Fermi level at 6.47 states/eV per cell. As for the total energy: -3.79 eV per atom. The total magnetization comes out at 0.0 μB per cell. The energy relative to the elements comes out at -0.16 eV per atom.

It has space group P4/mbm (No. 127), with a = 9.217 Å, b = 9.217 Å, c = 3.979 Å, α = 90.00°, β = 90.00° and γ = 90.00°. The asymmetric unit holds Cd at (0.171, 0.329, 0.000), Cu at (0.124, 0.624, 0.000), Hg at (0.000, 0.000, 0.000), Pd at (0.000, 0.500, 0.500) and Pd at (0.081, 0.798, 0.500).


[7]
Crystalline Zr2VRu2 at its relaxed geometry. Source: Alexandria via LeMat-Bulk, functional GGA-PBE.

The calculation puts the density of states at the Fermi level at 8.93 states/eV per cell. As for the total energy: -9.22 eV per atom. The total magnetization comes out at 0.0 μB per cell. The energy relative to the elements comes out at -0.26 eV per atom.

It has space group P4/mbm (No. 127), with a = 6.373 Å, b = 6.373 Å, c = 4.420 Å, α = 90.00°, β = 90.00° and γ = 90.00°. The asymmetric unit holds Zr at (0.179, 0.321, 0.000), V at (0.000, 0.000, 0.500) and Ru at (0.144, 0.644, 0.500).


[8]
Crystalline ScAs2HBr at its relaxed geometry. Source: Alexandria via LeMat-Bulk, functional GGA-PBE.

The calculation puts the density of states at the Fermi level at 2.64 states/eV per cell. As for the total energy: -3.76 eV per atom. The total magnetization comes out at 1.0 μB per cell. The calculation puts the energy above the most stable polymorph in this dataset at 481.4 meV/atom.

It has space group P4/mmm (No. 123), with a = 5.252 Å, b = 5.252 Å, c = 5.336 Å, α = 90.00°, β = 90.00° and γ = 90.00°. The asymmetric unit holds Sc at (0.000, 0.000, 0.000), As at (0.000, 0.500, 0.000), H at (0.500, 0.500, 0.500) and Br at (0.000, 0.000, 0.500).


[9]
Crystalline H6PtI at its relaxed geometry. Source: Alexandria via LeMat-Bulk, functional GGA-PBE.

The calculation puts the density of states at the Fermi level at 4.93 states/eV per cell. As for the total energy: -3.28 eV per atom. The total magnetization comes out at 0.4 μB per cell.

It has space group C2/m (No. 12), with a = 8.826 Å, b = 5.273 Å, c = 5.820 Å, α = 90.00°, β = 122.16° and γ = 90.00°. The asymmetric unit holds H at (0.160, 0.221, 0.138), H at (0.220, 0.000, 0.187), Pt at (0.000, 0.000, 0.000) and I at (0.000, 0.000, 0.500).


[10]
Crystalline CsTl2AgHg at its relaxed geometry. Source: Alexandria via LeMat-Bulk, functional GGA-PBE.

The calculation puts the density of states at the Fermi level at 5.11 states/eV per cell. As for the total energy: -1.63 eV per atom. The total magnetization comes out at 0.0 μB per cell. The energy relative to the elements comes out at 0.12 eV per atom. The calculation puts the energy above the most stable polymorph in this dataset at 83.5 meV/atom.

It has space group P4/mmm (No. 123), with a = 5.557 Å, b = 5.557 Å, c = 6.998 Å, α = 90.00°, β = 90.00° and γ = 90.00°. The asymmetric unit holds Cs at (0.000, 0.000, 0.000), Tl at (0.000, 0.500, 0.500), Ag at (0.000, 0.000, 0.500) and Hg at (0.500, 0.500, 0.000).


[11]
Crystalline SrTlRu4 at its relaxed geometry. Source: Alexandria via LeMat-Bulk, functional GGA-PBE.

The calculation puts the density of states at the Fermi level at 33.61 states/eV per cell. As for the total energy: -6.39 eV per atom. The total magnetization comes out at 10.2 μB per cell. The energy relative to the elements comes out at 0.47 eV per atom.

It has space group F-43m (No. 216), with a = 7.615 Å, b = 7.615 Å, c = 7.615 Å, α = 90.00°, β = 90.00° and γ = 90.00°. The asymmetric unit holds Sr at (0.000, 0.000, 0.000), Tl at (0.250, 0.250, 0.750) and Ru at (0.124, 0.124, 0.376).


[12]
Crystalline Pm3Nd2Y5 at its relaxed geometry. Source: Alexandria via LeMat-Bulk, functional GGA-PBE.

The calculation puts the density of states at the Fermi level at 63.81 states/eV per cell. As for the total energy: -5.22 eV per atom. The total magnetization comes out at 0.0 μB per cell. The energy relative to the elements comes out at 0.39 eV per atom. The calculation puts the energy above the most stable polymorph in this dataset at 219.5 meV/atom.

It has space group Ibam (No. 72), with a = 9.443 Å, b = 22.092 Å, c = 6.909 Å, α = 90.00°, β = 90.00° and γ = 90.00°. The asymmetric unit holds Pm at (0.000, 0.000, 0.250), Pm at (0.248, 0.371, 0.000), Nd at (0.101, 0.122, 0.000), Y at (0.000, 0.248, 0.250), Y at (0.000, 0.500, 0.250) and Y at (0.089, 0.373, 0.500).